Record 1
A plane-wave DFT calculation with PBE was carried out for Ac2Pm2PrEr after structural relaxation.

Geometry as POSCAR:
```
Ac2Pm2PrEr
1.0
-0.787 5.791 1.004
-3.749 0.583 -6.305
-8.721 -2.051 4.996
Ac Pr Er Pm
4 2 2 4
Direct
0.000 0.257 0.173
0.500 0.008 0.000
0.500 0.508 0.000
0.000 0.757 0.827
0.000 0.508 0.500
0.000 0.008 0.500
0.500 0.258 0.664
0.500 0.758 0.336
0.000 0.758 0.173
0.500 0.757 0.657
0.500 0.257 0.343
0.000 0.258 0.827
```

* energy of formation: 85 meV/atom
* space-group type: Pmc2_1 (26)
* DFT total energy: -53.105 eV for the cell shown
* mass density: 7.81 g cm⁻³

***

Record 2
A plane-wave DFT calculation with PBE was carried out for ZnCuRu2 after structural relaxation.

Geometry as POSCAR:
```
ZnCuRu2
1.0
-2.111 2.880 2.860
-3.489 0.512 2.915
2.180 -1.178 3.891
Ru Cu Zn
2 1 1
Direct
0.747 0.747 0.779
0.001 0.001 0.974
0.251 0.251 0.274
0.501 0.501 0.473
```

* energy of formation: 99 meV/atom
* space-group type: Cm (8)
* DFT total energy: -23.524 eV for the cell shown
* mass density: 10.09 g cm⁻³

***

Record 3
A plane-wave DFT calculation with PBE was carried out for GaHg2Cl after structural relaxation.

Geometry as POSCAR:
```
GaHg2Cl
1.0
0.000 3.770 3.770
3.770 0.000 3.770
3.770 3.770 0.000
Ga Hg Cl
1 2 1
Direct
0.500 0.500 0.500
0.750 0.750 0.750
0.250 0.250 0.250
0.000 0.000 0.000
```

* space-group type: Fm-3m (225)
* E above lowest polymorph: 188 meV per atom
* DFT total energy: -6.048 eV for the cell shown
* mass density: 7.85 g cm⁻³

***

Record 4
A plane-wave DFT calculation with PBE was carried out for ZnCoNi4 after structural relaxation.

Geometry as POSCAR:
```
ZnCoNi4
1.0
-3.028 -1.168 2.808
3.204 -5.466 1.182
1.937 5.454 2.397
Co Ni Zn
2 8 2
Direct
0.768 0.550 0.101
0.232 0.450 0.899
0.000 0.813 0.000
0.567 0.310 0.245
0.567 0.934 0.245
0.000 0.187 0.000
0.433 0.066 0.755
0.433 0.690 0.755
0.694 0.325 0.651
0.306 0.675 0.349
0.878 0.791 0.583
0.122 0.209 0.417
```

* energy of formation: 132 meV/atom
* space-group type: C2/m (12)
* E above lowest polymorph: 194 meV per atom
* DFT total energy: -61.430 eV for the cell shown
* mass density: 8.27 g cm⁻³

***

> Which formula does entry 1 have?

Ac2Pm2PrEr

***

> Look up the mass density of the second one.

10.09 g cm⁻³

***

> Which value of mass density does entry 1 give?

7.81 g cm⁻³